# 1
## Zn2AuI2 (PBEsol)

Data for a relaxed Zn2AuI2 crystal.

Results
space group = I4/mmm, No. 139
total energy = -8.5 eV for the cell shown
uncorrected formation energy = 433 meV/atom

Lattice parameters (Å, degrees): 6.639 6.639 6.639 136.21 136.21 63.66
Element x y z (fractional)
Zn1 0.250 0.750 0.500
Zn2 0.750 0.250 0.500
Au1 0.000 0.000 0.000
I1 0.348 0.348 0.000
I2 0.652 0.652 0.000


# 2
## SrSc2In2 (PBEsol)

Data for a relaxed SrSc2In2 crystal.

Results
space group = P4/mbm, No. 127
total energy = -45.6 eV for the cell shown

Lattice parameters (Å, degrees): 8.821 8.821 3.227 90.00 90.00 90.00
Element x y z (fractional)
Sr1 0.000 0.000 0.000
Sr2 0.500 0.500 0.000
Sc1 0.120 0.380 0.000
Sc2 0.380 0.880 0.000
Sc3 0.620 0.120 0.000
Sc4 0.880 0.620 0.000
In1 0.176 0.676 0.500
In2 0.324 0.176 0.500
In3 0.676 0.824 0.500
In4 0.824 0.324 0.500


# 3
## MgTa2W (PBEsol)

Data for a relaxed MgTa2W crystal.

Results
space group = Cmmm, No. 65
total energy = -40.0 eV for the cell shown

Lattice parameters (Å, degrees): 2.795 2.795 9.558 90.00 90.00 109.49
Element x y z (fractional)
Mg1 0.000 0.000 0.000
Ta1 0.500 0.500 0.265
Ta2 0.500 0.500 0.735
W1 0.000 0.000 0.500


# 4
## Tl2PtC4N4 (PBEsol)

Data for a relaxed Tl2PtC4N4 crystal.

Results
space group = P2_1/c, No. 14
total energy = -164.9 eV for the cell shown
uncorrected formation energy = 223 meV/atom

Lattice parameters (Å, degrees): 6.344 7.238 9.831 90.00 112.29 90.00
Element x y z (fractional)
Tl1 0.197 0.151 0.423
Tl2 0.197 0.349 0.923
Tl3 0.803 0.651 0.077
Tl4 0.803 0.849 0.577
Pt1 0.500 0.000 0.000
Pt2 0.500 0.500 0.500
C1 0.234 0.666 0.437
C2 0.234 0.834 0.937
C3 0.496 0.000 0.798
C4 0.496 0.500 0.298
C5 0.504 0.000 0.202
C6 0.504 0.500 0.702
C7 0.766 0.166 0.063
C8 0.766 0.334 0.563
N1 0.076 0.733 0.898
N2 0.076 0.767 0.398
N3 0.493 0.001 0.678
N4 0.493 0.499 0.178
N5 0.507 0.501 0.822
N6 0.507 0.999 0.322
N7 0.924 0.233 0.602
N8 0.924 0.267 0.102


# 5
## KBaLa2 (PBEsol)

Data for a relaxed KBaLa2 crystal.

Results
space group = R-3m, No. 166
total energy = -12.8 eV for the cell shown
offset from the most stable computed form = 0.0 meV/atom

Lattice parameters (Å, degrees): 13.876 13.876 13.876 15.64 15.64 15.64
Element x y z (fractional)
K1 0.000 0.000 0.000
Ba1 0.500 0.500 0.500
La1 0.245 0.245 0.245
La2 0.755 0.755 0.755


# 6
## MgP2Pb (PBEsol)

Data for a relaxed MgP2Pb crystal.

Results
space group = C2/m, No. 12
total energy = -16.7 eV for the cell shown

Lattice parameters (Å, degrees): 4.791 4.791 3.810 100.25 100.25 104.09
Element x y z (fractional)
Mg1 0.000 0.000 0.000
P1 0.000 0.500 0.500
P2 0.500 0.000 0.500
Pb1 0.500 0.500 0.000


# 7
## NbSi3Bi (PBEsol)

Data for a relaxed NbSi3Bi crystal.

Results
space group = Pm-3m, No. 221
total energy = -29.0 eV for the cell shown
offset from the most stable computed form = 0.0 meV/atom
uncorrected formation energy = 678 meV/atom

Lattice parameters (Å, degrees): 4.878 4.878 4.878 90.00 90.00 90.00
Element x y z (fractional)
Nb1 0.000 0.000 0.000
Si1 0.000 0.000 0.500
Si2 0.000 0.500 0.000
Si3 0.500 0.000 0.000
Bi1 0.500 0.500 0.500


# 8
## Al2PCl (PBEsol)

Data for a relaxed Al2PCl crystal.

Results
space group = C2/m, No. 12
total energy = -17.2 eV for the cell shown
offset from the most stable computed form = 0.0 meV/atom
uncorrected formation energy = -304 meV/atom

Lattice parameters (Å, degrees): 3.632 3.632 7.722 103.48 103.48 59.98
Element x y z (fractional)
Al1 0.107 0.107 0.319
Al2 0.893 0.893 0.681
P1 0.500 0.500 0.500
Cl1 0.000 0.000 0.000


Question: Look up the total energy of the fifth one.
Answer: -12.8 eV for the cell shown


Copy entry 4 word for word.
## Tl2PtC4N4 (PBEsol)

Data for a relaxed Tl2PtC4N4 crystal.

Results
space group = P2_1/c, No. 14
total energy = -164.9 eV for the cell shown
uncorrected formation energy = 223 meV/atom

Lattice parameters (Å, degrees): 6.344 7.238 9.831 90.00 112.29 90.00
Element x y z (fractional)
Tl1 0.197 0.151 0.423
Tl2 0.197 0.349 0.923
Tl3 0.803 0.651 0.077
Tl4 0.803 0.849 0.577
Pt1 0.500 0.000 0.000
Pt2 0.500 0.500 0.500
C1 0.234 0.666 0.437
C2 0.234 0.834 0.937
C3 0.496 0.000 0.798
C4 0.496 0.500 0.298
C5 0.504 0.000 0.202
C6 0.504 0.500 0.702
C7 0.766 0.166 0.063
C8 0.766 0.334 0.563
N1 0.076 0.733 0.898
N2 0.076 0.767 0.398
N3 0.493 0.001 0.678
N4 0.493 0.499 0.178
N5 0.507 0.501 0.822
N6 0.507 0.999 0.322
N7 0.924 0.233 0.602
N8 0.924 0.267 0.102


Question: The lowest total energy belongs to which entry?
Answer: Tl2PtC4N4


Question: Which formula does entry 2 have?
Answer: SrSc2In2